A plane-wave DFT calculation with PBE-GGA was carried out for a relaxed structure of ThFeW.

As for the crystal system: cubic. The excess energy over the best structure of this formula in the dataset comes out at 0.00 eV per formula unit.

The structure belongs to space group F-43m (No. 216); the cell edges are 6.296, 6.296 and 6.296 Å and the angles 90.00°, 90.00° and 90.00°. Symmetry generates all atoms from Th at (0.000, 0.000, 0.000), Fe at (0.250, 0.250, 0.250) and W at (0.000, 0.000, 0.500).



A plane-wave DFT calculation with PBE-GGA was carried out for a relaxed structure of Ta2Zn3W4C3.

The total energy comes out at -430.83 eV/cell. As for the crystal system: monoclinic.

The structure belongs to space group C2/c (No. 15); the cell edges are 9.194, 5.307 and 13.895 Å and the angles 90.00°, 102.92° and 90.00°. Symmetry generates all atoms from Ta at (0.052, 0.084, 0.404), Zn at (0.000, 0.475, 0.250), Zn at (0.192, 0.107, 0.749), W at (0.111, 0.418, 0.584), W at (0.221, 0.416, 0.916), C at (0.081, 0.244, 0.000) and C at (0.250, 0.250, 0.500).



A plane-wave DFT calculation with PBE-GGA was carried out for a relaxed structure of Lu4AlSnC2.

The total energy comes out at -48.09 eV/cell. As for the crystal system: hexagonal.

The structure belongs to space group P-6m2 (No. 187); the cell edges are 3.5036, 3.5036 and 15.4956 Å and the angles 90.00°, 90.00° and 120.00°. Symmetry generates all atoms from Lu at (0.0000, 0.0000, 0.1629), Lu at (0.6667, 0.3333, 0.3311), Al at (0.6667, 0.3333, 0.0000), Sn at (0.0000, 0.0000, 0.5000) and C at (0.3333, 0.6667, 0.2495).



A plane-wave DFT calculation with PBE-GGA was carried out for a relaxed structure of Y2TmAl3NiAg2.

The total energy comes out at -88.76 eV/cell. As for the crystal system: orthorhombic.

The structure belongs to space group Amm2 (No. 38); the cell edges are 4.135, 12.383 and 7.192 Å and the angles 90.00°, 90.00° and 90.00°. Symmetry generates all atoms from Y at (0.000, 0.199, 0.000), Tm at (0.000, 0.000, 0.405), Al at (0.500, 0.000, 0.022), Al at (0.500, 0.112, 0.688), Ni at (0.000, 0.000, 0.795) and Ag at (0.500, 0.164, 0.301).



A plane-wave DFT calculation with PBE-GGA was carried out for a relaxed structure of BeFeSnMo.

As for the crystal system: cubic. The excess energy over the best structure of this formula in the dataset comes out at 0.46 eV per formula unit.

The structure belongs to space group F-43m (No. 216); the cell edges are 6.141, 6.141 and 6.141 Å and the angles 90.00°, 90.00° and 90.00°. Symmetry generates all atoms from Be at (0.000, 0.000, 0.000), Fe at (0.250, 0.250, 0.750), Sn at (0.000, 0.000, 0.500) and Mo at (0.250, 0.250, 0.250).



A plane-wave DFT calculation with PBE-GGA was carried out for a relaxed structure of Ta9W4.

As for the crystal system: trigonal. The excess energy over the best structure of this formula in the dataset comes out at 0.41 eV per formula unit.

The structure belongs to space group R-3m (No. 166, hexagonal axes); the cell edges are 5.3652, 5.3652 and 28.3201 Å and the angles 90.00°, 90.00° and 120.00°. Symmetry generates all atoms from Ta at (0.0000, 0.0000, 0.0000), Ta at (0.0000, 0.0000, 0.1672), Ta at (0.0034, 0.5017, 0.4104), W at (0.0000, 0.0000, 0.3525) and W at (0.0000, 0.0000, 0.4544).



A plane-wave DFT calculation with PBE-GGA was carried out for a relaxed structure of HoEr2In3PdPt2.

The total energy comes out at -95.69 eV/cell. As for the crystal system: orthorhombic.

The structure belongs to space group Amm2 (No. 38); the cell edges are 3.789, 13.341 and 7.694 Å and the angles 90.00°, 90.00° and 90.00°. Symmetry generates all atoms from Ho at (0.000, 0.000, 0.000), Er at (0.000, 0.204, 0.613), In at (0.500, 0.000, 0.669), In at (0.500, 0.130, 0.279), Pd at (0.000, 0.000, 0.409) and Pt at (0.500, 0.167, 0.909).



A plane-wave DFT calculation with PBE-GGA was carried out for a relaxed structure of Pr14C.

The total energy comes out at -206.57 eV/cell. As for the crystal system: trigonal.

The structure belongs to space group R-3m (No. 166, hexagonal axes); the cell edges are 10.0918, 10.0918 and 18.3959 Å and the angles 90.00°, 90.00° and 120.00°. Symmetry generates all atoms from Pr at (0.0000, 0.0000, 0.1312), Pr at (0.0000, 0.3185, 0.5000), Pr at (0.0437, 0.5219, 0.3398) and C at (0.0000, 0.0000, 0.0000).